Compound: Hf3Si3Rh
Source: Alexandria via LeMat-Bulk
Functional: PBE
Structure: relaxed

Results
Space-group type ... Cmcm (63)
Total magnetic moment ... 0.00 μB per cell

```
Hf3Si3Rh
1.0
1.896 -4.881 0.000
1.896 4.881 0.000
0.000 0.000 12.590
Hf Si Rh
6 6 2
Cartesian
1.896 4.840 9.443
1.896 2.035 7.575
1.896 2.035 11.310
1.896 -2.035 1.280
1.896 -2.035 5.015
1.896 -4.840 3.148
1.896 2.216 3.148
1.896 0.785 1.227
1.896 0.785 5.068
1.896 -0.785 7.522
1.896 -0.785 11.363
1.896 -2.216 9.443
0.000 0.000 0.000
0.000 0.000 6.295
```

Compound: Hf2Si2Rh
Source: Alexandria via LeMat-Bulk
Functional: PBE
Structure: relaxed

Results
Space-group type ... Immm (71)
Total magnetic moment ... 0.00 μB per cell

```
Hf2Si2Rh
1.0
-1.885 2.668 4.087
1.885 -2.668 4.087
1.885 2.668 -4.087
Hf Si Rh
2 2 1
Cartesian
0.000 0.000 1.689
0.000 0.000 6.485
1.885 1.191 0.000
0.000 1.476 4.087
0.000 2.668 0.000
```

Compound: Hf2Si2Rh
Source: Alexandria via LeMat-Bulk
Functional: PBE
Structure: relaxed

Results
Space-group type ... P4/mbm (127)
Total magnetic moment ... 0.00 μB per cell

```
Hf2Si2Rh
1.0
6.289 0.000 0.000
0.000 6.289 0.000
0.000 0.000 4.142
Hf Si Rh
4 4 2
Cartesian
1.061 2.083 0.000
2.083 5.228 0.000
4.206 1.061 0.000
5.228 4.206 0.000
0.852 3.997 2.071
2.292 0.852 2.071
3.997 5.437 2.071
5.437 2.292 2.071
0.000 0.000 2.071
3.145 3.145 2.071
```

Compound: Hf2SiRh4
Source: Alexandria via LeMat-Bulk
Functional: PBE
Structure: relaxed

Results
Space-group type ... I4/mmm (139)
Total magnetic moment ... 0.00 μB per cell

```
Hf2SiRh4
1.0
-2.186 2.186 6.647
2.186 -2.186 6.647
2.186 2.186 -6.647
Hf Si Rh
2 1 4
Cartesian
0.000 0.000 1.884
0.000 0.000 11.410
0.000 0.000 6.647
2.186 0.000 0.000
0.000 0.000 4.336
0.000 2.186 0.000
0.000 0.000 8.958
```

Compound: HfTaSi2Rh
Source: Alexandria via LeMat-Bulk
Functional: PBE
Structure: relaxed

Results
Space-group type ... P4/mmm (123)
Total magnetic moment ... 0.00 μB per cell

```
HfTaSi2Rh
1.0
4.485 0.000 0.000
0.000 4.485 0.000
0.000 0.000 4.926
Hf Ta Si Rh
1 1 2 1
Cartesian
0.000 0.000 0.000
2.243 2.243 0.000
0.000 2.243 2.463
2.243 0.000 2.463
0.000 0.000 2.463
```

Compound: Tb2HfSi2Rh5
Source: Alexandria via LeMat-Bulk
Functional: PBE
Structure: relaxed

Results
Space-group type ... P4/mbm (127)
Total magnetic moment ... 0.00 μB per cell

```
Tb2HfSi2Rh5
1.0
9.790 0.000 0.000
0.000 9.790 0.000
0.000 0.000 3.560
Tb Hf Si Rh
4 2 4 10
Cartesian
1.710 3.185 0.000
3.185 8.080 0.000
6.605 1.710 0.000
8.080 6.605 0.000
0.000 0.000 0.000
4.895 4.895 0.000
1.194 6.089 0.000
3.701 1.194 0.000
6.089 8.596 0.000
8.596 3.701 0.000
0.000 4.895 1.780
0.678 7.690 1.780
2.100 0.678 1.780
2.795 5.573 1.780
4.217 2.795 1.780
4.895 0.000 1.780
5.573 6.995 1.780
6.995 4.217 1.780
7.690 9.112 1.780
9.112 2.100 1.780
```

Compound: HfSiTcRh
Source: Alexandria via LeMat-Bulk
Functional: PBE
Structure: relaxed

Results
Space-group type ... F-43m (216)
Total magnetic moment ... 0.00 μB per cell

```
HfSiTcRh
1.0
0.000 3.111 3.111
3.111 0.000 3.111
3.111 3.111 0.000
Hf Si Tc Rh
1 1 1 1
Cartesian
0.000 0.000 0.000
3.111 3.111 3.111
4.666 4.666 4.666
1.555 1.555 1.555
```

Compound: HfThSi2Rh5
Source: Alexandria via LeMat-Bulk
Functional: PBE
Structure: relaxed

Results
Space-group type ... P4/mmm (123)
Total magnetic moment ... 0.00 μB per cell

```
HfThSi2Rh5
1.0
4.048 0.000 0.000
0.000 4.048 0.000
0.000 0.000 10.522
Hf Th Si Rh
1 1 2 5
Cartesian
0.000 0.000 0.000
0.000 0.000 5.261
2.024 2.024 2.922
2.024 2.024 7.600
0.000 2.024 1.782
0.000 2.024 8.739
2.024 0.000 1.782
2.024 0.000 8.739
2.024 2.024 5.261
```

The following uncorrected formation energy values (in kJ per mole of atoms) correspond, in order, to the records above: -89.8 -91.5 -93.7 -23.3 57.2 -97.0 -71.0 -66.1.